1.
This record from Alexandria describes SmZnPb after structural relaxation. The functional is GGA-PBE.

```
data_SmZnPb
_chemical_formula_sum 'Sm1 Zn1 Pb1'
_cell_length_a 6.467
_cell_length_b 6.467
_cell_length_c 6.467
_cell_angle_alpha 147.68
_cell_angle_beta 147.68
_cell_angle_gamma 46.36
_space_group_name_H-M_alt 'P 1'
_space_group_IT_number 1
loop_
_space_group_symop_operation_xyz
'x,y,z'
loop_
_atom_site_label
_atom_site_type_symbol
_atom_site_fract_x
_atom_site_fract_y
_atom_site_fract_z
Sm1 Sm 0.000 0.000 0.000
Zn1 Zn 0.349 0.349 0.000
Pb1 Pb 0.703 0.703 0.000
```

## Properties
As for the formation energy: -0.239 eV/atom. Its space group is No. 107.

2.
This record from Alexandria describes Sm2Zn5Pb after structural relaxation. The functional is GGA-PBE.

```
data_Sm2Zn5Pb
_chemical_formula_sum 'Sm4 Zn10 Pb2'
_cell_length_a 8.581
_cell_length_b 8.581
_cell_length_c 9.123
_cell_angle_alpha 90.00
_cell_angle_beta 90.00
_cell_angle_gamma 150.01
_space_group_name_H-M_alt 'P 1'
_space_group_IT_number 1
loop_
_space_group_symop_operation_xyz
'x,y,z'
loop_
_atom_site_label
_atom_site_type_symbol
_atom_site_fract_x
_atom_site_fract_y
_atom_site_fract_z
Sm1 Sm 0.000 0.000 0.000
Sm2 Sm 0.000 0.000 0.500
Sm3 Sm 0.204 0.796 0.750
Sm4 Sm 0.796 0.204 0.250
Zn1 Zn 0.186 0.814 0.109
Zn2 Zn 0.186 0.814 0.391
Zn3 Zn 0.341 0.659 0.016
Zn4 Zn 0.341 0.659 0.484
Zn5 Zn 0.389 0.611 0.750
Zn6 Zn 0.611 0.389 0.250
Zn7 Zn 0.659 0.341 0.516
Zn8 Zn 0.659 0.341 0.984
Zn9 Zn 0.814 0.186 0.609
Zn10 Zn 0.814 0.186 0.891
Pb1 Pb 0.448 0.552 0.250
Pb2 Pb 0.552 0.448 0.750
```

## Properties
As for the formation energy: -0.365 eV/atom. Its space group is No. 63.

3.
This record from Alexandria describes SmZnPb after structural relaxation. The functional is GGA-PBE.

```
data_SmZnPb
_chemical_formula_sum 'Sm1 Zn1 Pb1'
_cell_length_a 4.587
_cell_length_b 4.587
_cell_length_c 4.243
_cell_angle_alpha 90.00
_cell_angle_beta 90.00
_cell_angle_gamma 120.00
_space_group_name_H-M_alt 'P 1'
_space_group_IT_number 1
loop_
_space_group_symop_operation_xyz
'x,y,z'
loop_
_atom_site_label
_atom_site_type_symbol
_atom_site_fract_x
_atom_site_fract_y
_atom_site_fract_z
Sm1 Sm 0.000 0.000 0.000
Zn1 Zn 0.333 0.667 0.367
Pb1 Pb 0.667 0.333 0.545
```

## Properties
As for the formation energy: -0.369 eV/atom. Its space group is No. 156.

Q: formation energy of number 2 (Sm2Zn5Pb)?
A: -0.365 eV/atom